This record from the Alexandria database describes Ca2AcYAg4 after structural relaxation. The functional is GGA-PBE.

a b c (Å): 5.290 5.290 9.270
angles (deg): 73.42 73.42 60.00
Fractional positions:
1 Ca 0.753 0.753 0.741
2 Ca 0.247 0.247 0.259
3 Ac 0.000 0.000 0.000
4 Y 0.500 0.500 0.500
5 Ag 0.382 0.382 0.853
6 Ag 0.872 0.872 0.385
7 Ag 0.128 0.128 0.615
8 Ag 0.618 0.618 0.147

Output
Space-group type: R-3m
Formation energy from the elements in eV/atom: -0.293
Total magnetization in μB per formula unit: 0.0

---

This record from the Alexandria database describes CaAcZnAg after structural relaxation. The functional is GGA-PBE.

a b c (Å): 5.424 5.424 5.424
angles (deg): 60.00 60.00 60.00
Fractional positions:
1 Ac 0.000 0.000 0.000
2 Ca 0.500 0.500 0.500
3 Zn 0.750 0.750 0.750
4 Ag 0.250 0.250 0.250

Output
Space-group type: F-43m
Formation energy from the elements in eV/atom: -0.270
Total magnetization in μB per formula unit: 0.0

---

This record from the Alexandria database describes Ac2Cd12Ag5 after structural relaxation. The functional is GGA-PBE.

a b c (Å): 7.646 7.646 7.646
angles (deg): 82.89 82.89 82.89
Fractional positions:
1 Ac 0.662 0.662 0.662
2 Ac 0.338 0.338 0.338
3 Cd 0.292 0.708 0.000
4 Cd 0.708 0.000 0.292
5 Cd 0.000 0.292 0.708
6 Cd 0.708 0.292 0.000
7 Cd 0.292 0.000 0.708
8 Cd 0.000 0.708 0.292
9 Cd 0.349 0.349 0.851
10 Cd 0.349 0.851 0.349
11 Cd 0.851 0.349 0.349
12 Cd 0.651 0.149 0.651
13 Cd 0.651 0.651 0.149
14 Cd 0.149 0.651 0.651
15 Ag 0.000 0.000 0.500
16 Ag 0.000 0.500 0.000
17 Ag 0.500 0.000 0.000
18 Ag 0.896 0.896 0.896
19 Ag 0.104 0.104 0.104

Output
Space-group type: R-3m
Formation energy from the elements in eV/atom: -0.182
Total magnetization in μB per formula unit: 0.0

---

This record from the Alexandria database describes AcCd6Ag6 after structural relaxation. The functional is GGA-PBE.

a b c (Å): 5.607 7.627 7.627
angles (deg): 81.79 68.43 68.43
Fractional positions:
1 Ac 0.000 0.000 0.000
2 Cd 0.352 0.648 0.648
3 Cd 0.648 0.352 0.352
4 Cd 0.000 0.350 0.650
5 Cd 0.000 0.650 0.350
6 Cd 0.294 0.206 0.206
7 Cd 0.706 0.794 0.794
8 Ag 0.000 0.500 0.000
9 Ag 0.500 0.500 0.000
10 Ag 0.000 0.000 0.500
11 Ag 0.500 0.000 0.500
12 Ag 0.500 0.780 0.220
13 Ag 0.500 0.220 0.780

Output
Space-group type: Immm
Formation energy from the elements in eV/atom: -0.138
Total magnetization in μB per formula unit: 0.0

---

This record from the Alexandria database describes AcCd2Ag3 after structural relaxation. The functional is GGA-PBE.

a b c (Å): 5.747 7.153 7.153
angles (deg): 95.04 90.00 90.00
Fractional positions:
1 Ac 0.250 0.296 0.296
2 Ac 0.750 0.704 0.704
3 Cd 0.500 0.765 0.235
4 Cd 0.000 0.765 0.235
5 Cd 0.000 0.235 0.765
6 Cd 0.500 0.235 0.765
7 Ag 0.750 0.444 0.091
8 Ag 0.750 0.091 0.444
9 Ag 0.250 0.556 0.909
10 Ag 0.750 0.053 0.053
11 Ag 0.250 0.947 0.947
12 Ag 0.250 0.909 0.556

Output
Space-group type: Cmcm
Formation energy from the elements in eV/atom: -0.185
Polymorph energy (0 for the lowest one) in meV/atom: 11.5
Total magnetization in μB per formula unit: 0.0

---

This record from the Alexandria database describes Ac2CdAg4 after structural relaxation. The functional is GGA-PBE.

a b c (Å): 5.161 5.161 8.923
angles (deg): 106.81 106.81 90.00
Fractional positions:
1 Ac 0.635 0.635 0.271
2 Ac 0.365 0.365 0.729
3 Cd 0.000 0.000 0.000
4 Ag 0.830 0.830 0.660
5 Ag 0.170 0.170 0.340
6 Ag 0.000 0.500 0.000
7 Ag 0.500 0.000 0.000

Output
Space-group type: I4/mmm
Formation energy from the elements in eV/atom: 0.081
Polymorph energy (0 for the lowest one) in meV/atom: 225.6
Total magnetization in μB per formula unit: 0.0

---

This record from the Alexandria database describes AcCd2Ag8 after structural relaxation. The functional is GGA-PBE.

a b c (Å): 5.497 5.497 9.650
angles (deg): 90.00 90.00 90.00
Fractional positions:
1 Ac 0.500 0.500 0.500
2 Cd 0.500 0.000 0.000
3 Cd 0.000 0.500 0.000
4 Ag 0.752 0.752 0.229
5 Ag 0.752 0.248 0.771
6 Ag 0.752 0.752 0.771
7 Ag 0.752 0.248 0.229
8 Ag 0.248 0.752 0.229
9 Ag 0.248 0.752 0.771
10 Ag 0.248 0.248 0.229
11 Ag 0.248 0.248 0.771

Output
Space-group type: P4/mmm
Formation energy from the elements in eV/atom: 0.199
Total magnetization in μB per formula unit: 0.0

---

This record from the Alexandria database describes AcCd2Ag3 after structural relaxation. The functional is GGA-PBE.

a b c (Å): 5.980 5.980 9.265
angles (deg): 90.00 90.00 120.00
Fractional positions:
1 Ac 0.000 0.000 0.500
2 Ac 0.000 0.000 0.000
3 Cd 0.667 0.333 0.500
4 Cd 0.333 0.667 0.000
5 Cd 0.333 0.667 0.500
6 Cd 0.667 0.333 0.000
7 Ag 0.501 0.000 0.250
8 Ag 0.000 0.499 0.750
9 Ag 0.499 0.000 0.750
10 Ag 0.499 0.499 0.250
11 Ag 0.000 0.501 0.250
12 Ag 0.501 0.501 0.750

Output
Space-group type: P6/mmm
Formation energy from the elements in eV/atom: -0.196
Polymorph energy (0 for the lowest one) in meV/atom: 0.0
Total magnetization in μB per formula unit: 0.0

---

> Look up the total magnetization of the fourth one.

0.0 μB per formula unit

---

> Look up the total magnetization of the sixth one.

0.0 μB per formula unit